{"formula": "Sr2TlCl", "functional": "PBE", "state": "optimized geometry", "mass_density_g_cm3": 5.0, "volume_a3_per_cell": 137, "polymorph_energy_mev_per_atom": 298, "crystal_system": "cubic", "formation_energy_uncorrected_ev_per_atom": -0.79, "lattice_angstrom": [[0.000, 4.087, 4.087], [4.087, 0.000, 4.087], [4.087, 4.087, 0.000]], "species": ["Sr", "Sr", "Tl", "Cl"], "fractional_positions": [[0.250, 0.250, 0.250], [0.750, 0.750, 0.750], [0.000, 0.000, 0.000], [0.500, 0.500, 0.500]]}